1.
A relaxed Pr2NdSn3Pt3 crystal. Source: OQMD, functional PBE.

Geometry as CIF:
```
data_Pr2NdSn3Pt3
_chemical_formula_sum 'Pr4 Nd2 Sn6 Pt6'
_symmetry_space_group_name_H-M 'A m m 2'
_symmetry_Int_Tables_number 38
_cell_length_a 4.147
_cell_length_b 13.282
_cell_length_c 7.670
_cell_angle_alpha 90.00
_cell_angle_beta 90.00
_cell_angle_gamma 90.00
loop_
_symmetry_equiv_pos_as_xyz
'x,y,z'
'-x,-y,z'
'-x,y,z'
'x,-y,z'
'x,y+1/2,z+1/2'
'-x,-y+1/2,z+1/2'
'-x,y+1/2,z+1/2'
'x,-y+1/2,z+1/2'
loop_
_atom_site_label
_atom_site_type_symbol
_atom_site_fract_x
_atom_site_fract_y
_atom_site_fract_z
Pr1 Pr 0.000 0.206 0.000
Nd1 Nd 0.000 0.000 0.617
Sn1 Sn 0.500 0.000 0.954
Sn2 Sn 0.500 0.126 0.332
Pt1 Pt 0.000 0.000 0.207
Pt2 Pt 0.500 0.166 0.706
```

Calculated values
Total DFT energy (no corrections), eV for the cell shown: -107.8

***

2.
A relaxed PrNdSn2Pt4 crystal. Source: OQMD, functional PBE.

Geometry as CIF:
```
data_PrNdSn2Pt4
_chemical_formula_sum 'Pr1 Nd1 Sn2 Pt4'
_symmetry_space_group_name_H-M 'P -6 m 2'
_symmetry_Int_Tables_number 187
_symmetry_space_group_name_Hall 'P -6 2'
_cell_length_a 4.6265
_cell_length_b 4.6265
_cell_length_c 9.3668
_cell_angle_alpha 90.00
_cell_angle_beta 90.00
_cell_angle_gamma 120.00
loop_
_atom_site_label
_atom_site_type_symbol
_atom_site_fract_x
_atom_site_fract_y
_atom_site_fract_z
Pr1 Pr 0.0000 0.0000 0.0000
Nd1 Nd 0.3333 0.6667 0.5000
Sn1 Sn 0.6667 0.3333 0.2501
Pt1 Pt 0.0000 0.0000 0.3360
Pt2 Pt 0.3333 0.6667 0.1643
```

Calculated values
Total DFT energy (no corrections), eV for the cell shown: -49.2

***

3.
A relaxed Pr3Nd3Te2Pt crystal. Source: OQMD, functional PBE.

Geometry as CIF:
```
data_Pr3Nd3Te2Pt
_chemical_formula_sum 'Pr3 Nd3 Te2 Pt1'
_symmetry_space_group_name_H-M 'P -6 2 m'
_symmetry_Int_Tables_number 189
_symmetry_space_group_name_Hall 'P -6 -2'
_cell_length_a 8.7427
_cell_length_b 8.7427
_cell_length_c 4.0657
_cell_angle_alpha 90.00
_cell_angle_beta 90.00
_cell_angle_gamma 120.00
loop_
_atom_site_label
_atom_site_type_symbol
_atom_site_fract_x
_atom_site_fract_y
_atom_site_fract_z
Pr1 Pr 0.0000 0.4106 0.0000
Nd1 Nd 0.0000 0.7540 0.5000
Te1 Te 0.3333 0.6667 0.5000
Pt1 Pt 0.0000 0.0000 0.0000
```

Calculated values
Energy above the lowest structure with this stoichiometry, meV/atom: 0.0
Total DFT energy (no corrections), eV for the cell shown: -49.3

***

4.
A relaxed Pr3Nd3Te2Pt crystal. Source: OQMD, functional PBE.

Geometry as CIF:
```
data_Pr3Nd3Te2Pt
_chemical_formula_sum 'Pr3 Nd3 Te2 Pt1'
_symmetry_space_group_name_H-M 'P -6 2 m'
_symmetry_Int_Tables_number 189
_symmetry_space_group_name_Hall 'P -6 -2'
_cell_length_a 8.7550
_cell_length_b 8.7550
_cell_length_c 4.0624
_cell_angle_alpha 90.00
_cell_angle_beta 90.00
_cell_angle_gamma 120.00
loop_
_atom_site_label
_atom_site_type_symbol
_atom_site_fract_x
_atom_site_fract_y
_atom_site_fract_z
Pr1 Pr 0.0000 0.7535 0.0000
Nd1 Nd 0.0000 0.4107 0.5000
Te1 Te 0.3333 0.6667 0.0000
Pt1 Pt 0.0000 0.0000 0.5000
```

Calculated values
Energy above the lowest structure with this stoichiometry, meV/atom: 19.6
Total DFT energy (no corrections), eV for the cell shown: -49.1

***

5.
A relaxed PrNdTl2Pt4 crystal. Source: OQMD, functional PBE.

Geometry as CIF:
```
data_PrNdTl2Pt4
_chemical_formula_sum 'Pr1 Nd1 Tl2 Pt4'
_symmetry_space_group_name_H-M 'P -6 m 2'
_symmetry_Int_Tables_number 187
_symmetry_space_group_name_Hall 'P -6 2'
_cell_length_a 4.6963
_cell_length_b 4.6963
_cell_length_c 9.2440
_cell_angle_alpha 90.00
_cell_angle_beta 90.00
_cell_angle_gamma 120.00
loop_
_atom_site_label
_atom_site_type_symbol
_atom_site_fract_x
_atom_site_fract_y
_atom_site_fract_z
Pr1 Pr 0.0000 0.0000 0.0000
Nd1 Nd 0.3333 0.6667 0.5000
Tl1 Tl 0.6667 0.3333 0.2510
Pt1 Pt 0.0000 0.0000 0.3456
Pt2 Pt 0.3333 0.6667 0.1563
```

Calculated values
Total DFT energy (no corrections), eV for the cell shown: -44.1

***

6.
A relaxed Rb2PrNd2 crystal. Source: OQMD, functional PBE.

Geometry as CIF:
```
data_Rb2PrNd2
_chemical_formula_sum 'Rb4 Pr2 Nd4'
_symmetry_space_group_name_H-M 'P 4/m b m'
_symmetry_Int_Tables_number 127
_symmetry_space_group_name_Hall '-P 4 2ab'
_cell_length_a 11.687
_cell_length_b 11.687
_cell_length_c 3.297
_cell_angle_alpha 90.00
_cell_angle_beta 90.00
_cell_angle_gamma 90.00
loop_
_atom_site_label
_atom_site_type_symbol
_atom_site_fract_x
_atom_site_fract_y
_atom_site_fract_z
Rb1 Rb 0.144 0.356 0.000
Pr1 Pr 0.000 0.000 0.500
Nd1 Nd 0.155 0.655 0.000
```

Calculated values
Total DFT energy (no corrections), eV for the cell shown: -22.9

***

7.
A relaxed Rb2PrNdS4 crystal. Source: OQMD, functional PBE.

Geometry as CIF:
```
data_Rb2PrNdS4
_chemical_formula_sum 'Rb2 Pr1 Nd1 S4'
_symmetry_space_group_name_H-M 'P -3 m 1'
_symmetry_Int_Tables_number 164
_symmetry_space_group_name_Hall '-P 3 2"'
_cell_length_a 4.2264
_cell_length_b 4.2264
_cell_length_c 15.4513
_cell_angle_alpha 90.00
_cell_angle_beta 90.00
_cell_angle_gamma 120.00
loop_
_atom_site_label
_atom_site_type_symbol
_atom_site_fract_x
_atom_site_fract_y
_atom_site_fract_z
Rb1 Rb 0.3333 0.6667 0.2502
Pr1 Pr 0.0000 0.0000 0.0000
Nd1 Nd 0.0000 0.0000 0.5000
S1 S 0.3333 0.6667 0.5985
S2 S 0.3333 0.6667 0.9001
```

Calculated values
Total DFT energy (no corrections), eV for the cell shown: -42.5

***

8.
A relaxed Rb2PrNdTe4 crystal. Source: OQMD, functional PBE.

Geometry as CIF:
```
data_Rb2PrNdTe4
_chemical_formula_sum 'Rb2 Pr1 Nd1 Te4'
_symmetry_space_group_name_H-M 'P -3 m 1'
_symmetry_Int_Tables_number 164
_symmetry_space_group_name_Hall '-P 3 2"'
_cell_length_a 4.6497
_cell_length_b 4.6497
_cell_length_c 17.2090
_cell_angle_alpha 90.00
_cell_angle_beta 90.00
_cell_angle_gamma 120.00
loop_
_atom_site_label
_atom_site_type_symbol
_atom_site_fract_x
_atom_site_fract_y
_atom_site_fract_z
Rb1 Rb 0.3333 0.6667 0.2505
Pr1 Pr 0.0000 0.0000 0.0000
Nd1 Nd 0.0000 0.0000 0.5000
Te1 Te 0.3333 0.6667 0.6027
Te2 Te 0.3333 0.6667 0.8960
```

Calculated values
Total DFT energy (no corrections), eV for the cell shown: -35.3

***

no.,density (g cm⁻³)
1,10.75
2,12.46
3,8.06
4,8.04
5,13.87
6,4.43
7,4.06
8,4.98